# Er5Co4Ag (PBE, optimized geometry)
# Crystal system: tetragonal
# Total moment (μB per atom): 0.126
# ΔE_f (eV/atom): -0.2336
# E (eV/atom): -5.642
data_Er5Co4Ag
_cell_length_a 3.3135
_cell_length_b 3.3135
_cell_length_c 17.4164
_cell_angle_alpha 90.00
_cell_angle_beta 90.00
_cell_angle_gamma 90.00
_symmetry_space_group_name_H-M 'P 1'
_symmetry_Int_Tables_number 1
_symmetry_space_group_name_Hall 'P 1'
loop_
_atom_site_label
_atom_site_fract_x
_atom_site_fract_y
_atom_site_fract_z
Er1 0.0000 0.0000 0.0000
Er2 0.0000 0.0000 0.1886
Er3 0.0000 0.0000 0.3779
Er4 0.0000 0.0000 0.6221
Er5 0.0000 0.0000 0.8114
Co1 0.5000 0.5000 0.0951
Co2 0.5000 0.5000 0.2874
Co3 0.5000 0.5000 0.7126
Co4 0.5000 0.5000 0.9049
Ag1 0.5000 0.5000 0.5000